Version i
## Ac4GaRh2 (PBE)

Data for a relaxed Ac4GaRh2 crystal.

## Properties
Theoretical density, Mg/m³: 8.48

Geometry as CIF:
```
data_Ac4GaRh2
_chemical_formula_sum 'Ac8 Ga2 Rh4'
_space_group_name_H-M_alt 'C 1 2/m 1'
_space_group_IT_number 12
_cell_length_a 14.4560
_cell_length_b 4.5913
_cell_length_c 8.0222
_cell_angle_alpha 90.00
_cell_angle_beta 119.54
_cell_angle_gamma 90.00
loop_
_space_group_symop_operation_xyz
'x,y,z'
'-x,-y,-z'
'-x,y,-z'
'x,-y,z'
'x+1/2,y+1/2,z'
'-x+1/2,-y+1/2,-z'
'-x+1/2,y+1/2,-z'
'x+1/2,-y+1/2,z'
loop_
_atom_site_label
_atom_site_type_symbol
_atom_site_fract_x
_atom_site_fract_y
_atom_site_fract_z
Ac1 Ac 0.1190 0.0000 0.3405
Ac2 Ac 0.1532 0.5000 0.7904
Ga1 Ga 0.0000 0.5000 0.0000
Rh1 Rh 0.2081 0.5000 0.2152
```

Version ii
## Ac4GaRh2 (PBE)

Data for a relaxed Ac4GaRh2 crystal.

## Properties
Theoretical density, Mg/m³: 8.33

Geometry as CIF:
```
data_Ac4GaRh2
_chemical_formula_sum 'Ac16 Ga4 Rh8'
_space_group_name_H-M_alt 'I m m a'
_space_group_IT_number 74
_space_group_name_Hall '-I 2b 2'
_cell_length_a 9.8033
_cell_length_b 9.8110
_cell_length_c 9.8071
_cell_angle_alpha 90.00
_cell_angle_beta 90.00
_cell_angle_gamma 90.00
loop_
_atom_site_label
_atom_site_type_symbol
_atom_site_fract_x
_atom_site_fract_y
_atom_site_fract_z
Ac1 Ac 0.0000 0.0609 0.2088
Ac2 Ac 0.1891 0.2500 0.5412
Ga1 Ga 0.0000 0.2500 0.8746
Rh1 Rh 0.0000 0.0000 0.5000
Rh2 Rh 0.2500 0.2500 0.2500
```

Short version: version ii is the least stable of them.

Version i
## AcGa2Rh2 (PBE)

Data for a relaxed AcGa2Rh2 crystal.

## Properties
Theoretical density, Mg/m³: 9.50

Geometry as CIF:
```
data_AcGa2Rh2
_chemical_formula_sum 'Ac2 Ga4 Rh4'
_space_group_name_H-M_alt 'P 4/n m m'
_space_group_IT_number 129
_cell_length_a 4.4197
_cell_length_b 4.4197
_cell_length_c 10.2366
_cell_angle_alpha 90.00
_cell_angle_beta 90.00
_cell_angle_gamma 90.00
loop_
_space_group_symop_operation_xyz
'x,y,z'
'-x,-y,-z'
'-y+1/2,x,z'
'y+1/2,-x,-z'
'-x+1/2,-y+1/2,z'
'x+1/2,y+1/2,-z'
'y,-x+1/2,z'
'-y,x+1/2,-z'
'x+1/2,-y,-z'
'-x+1/2,y,z'
'-y,-x,-z'
'y,x,z'
'-x,y+1/2,-z'
'x,-y+1/2,z'
'y+1/2,x+1/2,-z'
'-y+1/2,-x+1/2,z'
loop_
_atom_site_label
_atom_site_type_symbol
_atom_site_fract_x
_atom_site_fract_y
_atom_site_fract_z
Ac1 Ac 0.2500 0.2500 0.2400
Ga1 Ga 0.2500 0.2500 0.8791
Ga2 Ga 0.2500 0.7500 0.5000
Rh1 Rh 0.2500 0.2500 0.6272
Rh2 Rh 0.2500 0.7500 0.0000
```

Version ii
## AcGa2Rh2 (PBE)

Data for a relaxed AcGa2Rh2 crystal.

## Properties
Theoretical density, Mg/m³: 9.14

Geometry as CIF:
```
data_AcGa2Rh2
_chemical_formula_sum 'Ac4 Ga8 Rh8'
_space_group_name_H-M_alt 'C 1 2/c 1'
_space_group_IT_number 15
_cell_length_a 6.0152
_cell_length_b 10.1289
_cell_length_c 7.4523
_cell_angle_alpha 90.00
_cell_angle_beta 113.71
_cell_angle_gamma 90.00
loop_
_space_group_symop_operation_xyz
'x,y,z'
'-x,-y,-z'
'-x,y,-z+1/2'
'x,-y,z+1/2'
'x+1/2,y+1/2,z'
'-x+1/2,-y+1/2,-z'
'-x+1/2,y+1/2,-z+1/2'
'x+1/2,-y+1/2,z+1/2'
loop_
_atom_site_label
_atom_site_type_symbol
_atom_site_fract_x
_atom_site_fract_y
_atom_site_fract_z
Ac1 Ac 0.0000 0.1247 0.2500
Ga1 Ga 0.1107 0.3746 0.9719
Rh1 Rh 0.0000 0.1763 0.7500
Rh2 Rh 0.0000 0.4271 0.2500
```

Short version: version ii is the least stable of them.

Version i
## Ac7Ga2Rh2 (PBE)

Data for a relaxed Ac7Ga2Rh2 crystal.

## Properties
Theoretical density, Mg/m³: 8.35

Geometry as CIF:
```
data_Ac7Ga2Rh2
_chemical_formula_sum 'Ac14 Ga4 Rh4'
_space_group_name_H-M_alt 'C m m m'
_space_group_IT_number 65
_space_group_name_Hall '-C 2 2'
_cell_length_a 8.4156
_cell_length_b 12.1637
_cell_length_c 7.5147
_cell_angle_alpha 90.00
_cell_angle_beta 90.00
_cell_angle_gamma 90.00
loop_
_atom_site_label
_atom_site_type_symbol
_atom_site_fract_x
_atom_site_fract_y
_atom_site_fract_z
Ac1 Ac 0.0000 0.0000 0.0000
Ac2 Ac 0.0000 0.5000 0.2577
Ac3 Ac 0.2500 0.2500 0.2591
Ga1 Ga 0.1547 0.0000 0.5000
Rh1 Rh 0.0000 0.2998 0.0000
```

Version ii
## Ac7Ga2Rh2 (PBE)

Data for a relaxed Ac7Ga2Rh2 crystal.

## Properties
Theoretical density, Mg/m³: 8.81

Geometry as CIF:
```
data_Ac7Ga2Rh2
_chemical_formula_sum 'Ac14 Ga4 Rh4'
_space_group_name_H-M_alt 'I m m 2'
_space_group_IT_number 44
_cell_length_a 4.5974
_cell_length_b 16.0294
_cell_length_c 9.8993
_cell_angle_alpha 90.00
_cell_angle_beta 90.00
_cell_angle_gamma 90.00
loop_
_space_group_symop_operation_xyz
'x,y,z'
'-x,-y,z'
'-x,y,z'
'x,-y,z'
'x+1/2,y+1/2,z+1/2'
'-x+1/2,-y+1/2,z+1/2'
'-x+1/2,y+1/2,z+1/2'
'x+1/2,-y+1/2,z+1/2'
loop_
_atom_site_label
_atom_site_type_symbol
_atom_site_fract_x
_atom_site_fract_y
_atom_site_fract_z
Ac1 Ac 0.0000 0.0000 0.0000
Ac2 Ac 0.0000 0.1080 0.3911
Ac3 Ac 0.0000 0.3180 0.6150
Ac4 Ac 0.0000 0.3776 0.2182
Ga1 Ga 0.0000 0.2345 0.9119
Rh1 Rh 0.0000 0.0000 0.6591
Rh2 Rh 0.0000 0.5000 0.7057
```

Short version: version i is the least stable of them.

Version i
## Ac4Ga2Rh (PBE)

Data for a relaxed Ac4Ga2Rh crystal.

## Properties
Theoretical density, Mg/m³: 7.51

Geometry as CIF:
```
data_Ac4Ga2Rh
_chemical_formula_sum 'Ac8 Ga4 Rh2'
_space_group_name_H-M_alt 'I 4/m m m'
_space_group_IT_number 139
_space_group_name_Hall '-I 4 2'
_cell_length_a 5.6403
_cell_length_b 5.6403
_cell_length_c 16.0006
_cell_angle_alpha 90.00
_cell_angle_beta 90.00
_cell_angle_gamma 90.00
loop_
_atom_site_label
_atom_site_type_symbol
_atom_site_fract_x
_atom_site_fract_y
_atom_site_fract_z
Ac1 Ac 0.0000 0.0000 0.1881
Ac2 Ac 0.0000 0.5000 0.0000
Ga1 Ga 0.0000 0.0000 0.3813
Rh1 Rh 0.0000 0.0000 0.0000
```

Version ii
## Ac4Ga2Rh (PBE)

Data for a relaxed Ac4Ga2Rh crystal.

## Properties
Theoretical density, Mg/m³: 8.16

Geometry as CIF:
```
data_Ac4Ga2Rh
_chemical_formula_sum 'Ac8 Ga4 Rh2'
_space_group_name_H-M_alt 'C 1 2/m 1'
_space_group_IT_number 12
_cell_length_a 17.6511
_cell_length_b 4.2770
_cell_length_c 6.6604
_cell_angle_alpha 90.00
_cell_angle_beta 111.35
_cell_angle_gamma 90.00
loop_
_space_group_symop_operation_xyz
'x,y,z'
'-x,-y,-z'
'-x,y,-z'
'x,-y,z'
'x+1/2,y+1/2,z'
'-x+1/2,-y+1/2,-z'
'-x+1/2,y+1/2,-z'
'x+1/2,-y+1/2,z'
loop_
_atom_site_label
_atom_site_type_symbol
_atom_site_fract_x
_atom_site_fract_y
_atom_site_fract_z
Ac1 Ac 0.0928 0.0000 0.2359
Ac2 Ac 0.1300 0.5000 0.7579
Ga1 Ga 0.2386 0.5000 0.3562
Rh1 Rh 0.0000 0.0000 0.5000
```

Short version: version i is the least stable of them.

Version i
## Ac3GaRh (PBE)

Data for a relaxed Ac3GaRh crystal.

## Properties
Theoretical density, Mg/m³: 7.59

Geometry as CIF:
```
data_Ac3GaRh
_chemical_formula_sum 'Ac3 Ga1 Rh1'
_space_group_name_H-M_alt 'P m -3 m'
_space_group_IT_number 221
_space_group_name_Hall '-P 4 2 3'
_cell_length_a 5.7152
_cell_length_b 5.7152
_cell_length_c 5.7152
_cell_angle_alpha 90.00
_cell_angle_beta 90.00
_cell_angle_gamma 90.00
loop_
_atom_site_label
_atom_site_type_symbol
_atom_site_fract_x
_atom_site_fract_y
_atom_site_fract_z
Ac1 Ac 0.0000 0.0000 0.5000
Ga1 Ga 0.5000 0.5000 0.5000
Rh1 Rh 0.0000 0.0000 0.0000
```

Version ii
## Ac3GaRh (PBE)

Data for a relaxed Ac3GaRh crystal.

## Properties
Theoretical density, Mg/m³: 8.35

Geometry as CIF:
```
data_Ac3GaRh
_chemical_formula_sum 'Ac12 Ga4 Rh4'
_space_group_name_H-M_alt 'P n m a'
_space_group_IT_number 62
_cell_length_a 13.8010
_cell_length_b 4.2051
_cell_length_c 11.7055
_cell_angle_alpha 90.00
_cell_angle_beta 90.00
_cell_angle_gamma 90.00
loop_
_space_group_symop_operation_xyz
'x,y,z'
'-x,-y,-z'
'-x+1/2,-y,z+1/2'
'x+1/2,y,-z+1/2'
'x+1/2,-y+1/2,-z+1/2'
'-x+1/2,y+1/2,z+1/2'
'-x,y+1/2,-z'
'x,-y+1/2,z'
loop_
_atom_site_label
_atom_site_type_symbol
_atom_site_fract_x
_atom_site_fract_y
_atom_site_fract_z
Ac1 Ac 0.0400 0.2500 0.1585
Ac2 Ac 0.1155 0.7500 0.5281
Ac3 Ac 0.2129 0.2500 0.7866
Ga1 Ga 0.1816 0.7500 0.0051
Rh1 Rh 0.0208 0.2500 0.6760
```

Version iii
## Ac3GaRh (PBE)

Data for a relaxed Ac3GaRh crystal.

## Properties
Theoretical density, Mg/m³: 8.41

Geometry as CIF:
```
data_Ac3GaRh
_chemical_formula_sum 'Ac6 Ga2 Rh2'
_space_group_name_H-M_alt 'P 1 m 1'
_space_group_IT_number 6
_cell_length_a 7.6472
_cell_length_b 5.5164
_cell_length_c 8.0089
_cell_angle_alpha 90.00
_cell_angle_beta 94.16
_cell_angle_gamma 90.00
loop_
_space_group_symop_operation_xyz
'x,y,z'
'x,-y,z'
loop_
_atom_site_label
_atom_site_type_symbol
_atom_site_fract_x
_atom_site_fract_y
_atom_site_fract_z
Ac1 Ac 0.0000 0.0000 0.0000
Ac2 Ac 0.0808 0.5000 0.3448
Ac3 Ac 0.3099 0.0000 0.6366
Ac4 Ac 0.4524 0.0000 0.1701
Ac5 Ac 0.5959 0.5000 0.8637
Ac6 Ac 0.8043 0.0000 0.5308
Ga1 Ga 0.0839 0.5000 0.7548
Ga2 Ga 0.5266 0.5000 0.3977
Rh1 Rh 0.2527 0.5000 0.0489
Rh2 Rh 0.6440 0.0000 0.8462
```

Short version: version i is the least stable of them.

Version i
## Ac2GaRh2 (PBE)

Data for a relaxed Ac2GaRh2 crystal.

## Properties
Theoretical density, Mg/m³: 10.07

Geometry as CIF:
```
data_Ac2GaRh2
_chemical_formula_sum 'Ac8 Ga4 Rh8'
_space_group_name_H-M_alt 'C 1 2/c 1'
_space_group_IT_number 15
_cell_length_a 10.5430
_cell_length_b 5.9207
_cell_length_c 7.9635
_cell_angle_alpha 90.00
_cell_angle_beta 104.43
_cell_angle_gamma 90.00
loop_
_space_group_symop_operation_xyz
'x,y,z'
'-x,-y,-z'
'-x,y,-z+1/2'
'x,-y,z+1/2'
'x+1/2,y+1/2,z'
'-x+1/2,-y+1/2,-z'
'-x+1/2,y+1/2,-z+1/2'
'x+1/2,-y+1/2,z+1/2'
loop_
_atom_site_label
_atom_site_type_symbol
_atom_site_fract_x
_atom_site_fract_y
_atom_site_fract_z
Ac1 Ac 0.1479 0.1425 0.1503
Ga1 Ga 0.0000 0.3761 0.7500
Rh1 Rh 0.1292 0.3672 0.5077
```

Version ii
## Ac2GaRh2 (PBE)

Data for a relaxed Ac2GaRh2 crystal.

## Properties
Theoretical density, Mg/m³: 9.31

Geometry as CIF:
```
data_Ac2GaRh2
_chemical_formula_sum 'Ac8 Ga4 Rh8'
_space_group_name_H-M_alt 'I b a m'
_space_group_IT_number 72
_space_group_name_Hall '-I 2 2c'
_cell_length_a 6.9554
_cell_length_b 11.6345
_cell_length_c 6.4312
_cell_angle_alpha 90.00
_cell_angle_beta 90.00
_cell_angle_gamma 90.00
loop_
_atom_site_label
_atom_site_type_symbol
_atom_site_fract_x
_atom_site_fract_y
_atom_site_fract_z
Ac1 Ac 0.1697 0.1458 0.0000
Ga1 Ga 0.0000 0.5000 0.2500
Rh1 Rh 0.2226 0.3927 0.0000
```

Short version: version ii is the least stable of them.